Record 1
# KTlCo2Ag PBE-GGA relaxed
data_KTlCo2Ag
_chemical_formula_sum 'K1 Tl1 Co2 Ag1'
_symmetry_space_group_name_H-M 'P 4/m m m'
_symmetry_Int_Tables_number 123
_symmetry_space_group_name_Hall '-P 4 2'
_cell_length_a 4.809
_cell_length_b 4.809
_cell_length_c 5.418
_cell_angle_alpha 90.00
_cell_angle_beta 90.00
_cell_angle_gamma 90.00
loop_
_atom_site_label
_atom_site_type_symbol
_atom_site_fract_x
_atom_site_fract_y
_atom_site_fract_z
_atom_site_occupancy
K1 K 0.000 0.000 0.000 1
Tl1 Tl 0.500 0.500 0.500 1
Co1 Co 0.000 0.500 0.000 1
Ag1 Ag 0.000 0.000 0.500 1
# Energy relative to the elements (eV/f.u.): 9.4
# Volume (Å³ per atom): 25.1
# DOS at the Fermi energy (states/eV per atom): 1.03
# Crystal system: tetragonal

Record 2
# TaSn2F2 PBE-GGA relaxed
data_TaSn2F2
_chemical_formula_sum 'Ta2 Sn4 F4'
_symmetry_space_group_name_H-M 'P 4/m b m'
_symmetry_Int_Tables_number 127
_symmetry_space_group_name_Hall '-P 4 2ab'
_cell_length_a 8.281
_cell_length_b 8.281
_cell_length_c 2.985
_cell_angle_alpha 90.00
_cell_angle_beta 90.00
_cell_angle_gamma 90.00
loop_
_atom_site_label
_atom_site_type_symbol
_atom_site_fract_x
_atom_site_fract_y
_atom_site_fract_z
_atom_site_occupancy
Ta1 Ta 0.000 0.000 0.000 1
Sn1 Sn 0.247 0.253 0.000 1
F1 F 0.108 0.392 0.500 1
# Volume (Å³ per atom): 20.5
# DOS at the Fermi energy (states/eV per atom): 0.67
# Crystal system: tetragonal
# Uncorrected formation energy (eV/atom): -0.637
# Energy above the lowest structure with this stoichiometry (eV per atom): 0.158